No. 1
PBEsol NbPbSe2, relaxed; uncorrected energy = -6.2691 eV/atom; uncorrected formation energy = -0.6390 eV per atom; space-group type = R-3m; N(E_F) = 1.81 states/eV/f.u.
1.0
3.400 0.000 0.000
1.700 2.945 0.000
1.700 0.982 9.457
Pb Nb Se
1 1 2
Direct
0.000 0.000 0.000 Pb
0.500 0.500 0.500 Nb
0.893 0.893 0.320 Se
0.107 0.107 0.680 Se

---

No. 2
PBEsol Ca2MoWO6, relaxed; uncorrected energy = -8.5360 eV/atom; uncorrected formation energy = -2.4022 eV per atom; space-group type = P-1; N(E_F) = 5.23 states/eV/f.u.
1.0
-3.185 -1.114 -4.331
-4.696 -2.846 0.654
-4.864 2.529 -0.531
O Mo W Ca
6 1 1 2
Direct
0.202 0.306 0.701 O
0.707 0.299 0.196 O
0.754 0.838 0.755 O
0.293 0.701 0.804 O
0.246 0.162 0.245 O
0.798 0.694 0.299 O
0.500 0.000 0.500 Mo
0.000 0.500 0.000 W
0.250 0.733 0.250 Ca
0.750 0.267 0.750 Ca

---

No. 3
PBEsol AlB3Pt, relaxed; calculated formation energy = 5.880 eV/f.u.; uncorrected energy = -5.2449 eV/atom; space-group type = Pm-3m; N(E_F) = 3.25 states/eV/f.u.
1.0
4.125 0.000 0.000
0.000 4.125 0.000
0.000 0.000 4.125
Al B Pt
1 3 1
Direct
0.500 0.500 0.500 Al
0.000 0.000 0.500 B
0.000 0.500 0.000 B
0.500 0.000 0.000 B
0.000 0.000 0.000 Pt

---

Q: The highest uncorrected energy belongs to which entry?
A: AlB3Pt